A plane-wave DFT calculation with PBE-GGA was carried out for a relaxed K3Sr12F5 crystal.

Calculated values
* VASP energy: -2.83 eV/atom
* total magnetic moment: 7.9 μB per cell

Cell lengths 16.2205, 16.2205, 16.2205 Å; angles 109.47, 109.47, 109.47 degrees
Positions (direct):
K 0.1250 0.2500 0.3750
K 0.1250 0.3750 0.7500
K 0.2500 0.3750 0.1250
K 0.2500 0.8750 0.6250
K 0.3750 0.1250 0.2500
K 0.3750 0.7500 0.1250
K 0.6250 0.2500 0.8750
K 0.6250 0.8750 0.7500
K 0.7500 0.1250 0.3750
K 0.7500 0.6250 0.8750
K 0.8750 0.6250 0.2500
K 0.8750 0.7500 0.6250
Sr 0.0075 0.6963 0.1045
Sr 0.0075 0.8112 0.9030
Sr 0.0918 0.6888 0.6963
Sr 0.0918 0.9030 0.3955
Sr 0.0970 0.6045 0.9082
Sr 0.0970 0.9925 0.1888
Sr 0.1045 0.0075 0.6963
Sr 0.1045 0.5970 0.4082
Sr 0.1888 0.0970 0.9925
Sr 0.1888 0.5918 0.1963
Sr 0.1963 0.1888 0.5918
Sr 0.1963 0.5075 0.6045
Sr 0.3037 0.8955 0.9925
Sr 0.3037 0.9082 0.3112
Sr 0.3112 0.3037 0.9082
Sr 0.3112 0.5075 0.4030
Sr 0.3955 0.0918 0.9030
Sr 0.3955 0.8037 0.4925
Sr 0.4030 0.3112 0.5075
Sr 0.4030 0.5918 0.8955
Sr 0.4082 0.1045 0.5970
Sr 0.4082 0.8037 0.8112
Sr 0.4925 0.3955 0.8037
Sr 0.4925 0.5970 0.6888
Sr 0.5075 0.4030 0.3112
Sr 0.5075 0.6045 0.1963
Sr 0.5918 0.1963 0.1888
Sr 0.5918 0.8955 0.4030
Sr 0.5970 0.4082 0.1045
Sr 0.5970 0.6888 0.4925
Sr 0.6045 0.1963 0.5075
Sr 0.6045 0.9082 0.0970
Sr 0.6888 0.4925 0.5970
Sr 0.6888 0.6963 0.0918
Sr 0.6963 0.0918 0.6888
Sr 0.6963 0.1045 0.0075
Sr 0.8037 0.4925 0.3955
Sr 0.8037 0.8112 0.4082
Sr 0.8112 0.4082 0.8037
Sr 0.8112 0.9030 0.0075
Sr 0.8955 0.4030 0.5918
Sr 0.8955 0.9925 0.3037
Sr 0.9030 0.0075 0.8112
Sr 0.9030 0.3955 0.0918
Sr 0.9082 0.0970 0.6045
Sr 0.9082 0.3112 0.3037
Sr 0.9925 0.1888 0.0970
Sr 0.9925 0.3037 0.8955
F 0.0000 0.0000 0.0000
F 0.0000 0.0000 0.5000
F 0.0000 0.5000 0.0000
F 0.0000 0.5000 0.5000
F 0.1250 0.7500 0.8750
F 0.1250 0.8750 0.2500
F 0.2500 0.1250 0.8750
F 0.2500 0.6250 0.3750
F 0.3750 0.2500 0.6250
F 0.3750 0.6250 0.7500
F 0.5000 0.0000 0.0000
F 0.5000 0.0000 0.5000
F 0.5000 0.5000 0.0000
F 0.5000 0.5000 0.5000
F 0.6250 0.3750 0.2500
F 0.6250 0.7500 0.3750
F 0.7500 0.3750 0.6250
F 0.7500 0.8750 0.1250
F 0.8750 0.1250 0.7500
F 0.8750 0.2500 0.1250

A plane-wave DFT calculation with PBE-GGA was carried out for a relaxed K2SrF4 crystal.

Calculated values
* VASP energy: -4.78 eV/atom
* total magnetic moment: 0.2 μB per cell

Cell lengths 7.6524, 7.6524, 7.6524 Å; angles 143.96, 143.96, 51.88 degrees
Positions (direct):
K 0.1468 0.1468 0.0000
K 0.8532 0.8532 0.0000
Sr 0.5000 0.5000 0.0000
F 0.0000 0.5000 0.5000
F 0.3272 0.3272 0.0000
F 0.5000 0.0000 0.5000
F 0.6728 0.6728 0.0000

A plane-wave DFT calculation with PBE-GGA was carried out for a relaxed K2SrF4 crystal.

Calculated values
* VASP energy: -4.85 eV/atom
* total magnetic moment: 0.5 μB per cell

Cell lengths 6.5071, 11.1734, 3.8243 Å; angles 90.00, 90.00, 90.00 degrees
Positions (direct):
K 0.0573 0.1779 0.0000
K 0.4427 0.6779 0.0000
K 0.5573 0.3221 0.0000
K 0.9427 0.8221 0.0000
Sr 0.0000 0.5000 0.5000
Sr 0.5000 0.0000 0.5000
F 0.1484 0.6979 0.5000
F 0.2270 0.4600 0.0000
F 0.2730 0.9600 0.0000
F 0.3516 0.1979 0.5000
F 0.6484 0.8021 0.5000
F 0.7270 0.0400 0.0000
F 0.7730 0.5400 0.0000
F 0.8516 0.3021 0.5000

A plane-wave DFT calculation with PBE-GGA was carried out for a relaxed KSr3F crystal.

Calculated values
* VASP energy: -2.48 eV/atom
* total magnetic moment: 0.0 μB per cell

Cell lengths 5.9554, 5.9554, 5.9554 Å; angles 90.00, 90.00, 90.00 degrees
Positions (direct):
K 0.0000 0.0000 0.0000
Sr 0.0000 0.5000 0.5000
Sr 0.5000 0.0000 0.5000
Sr 0.5000 0.5000 0.0000
F 0.5000 0.5000 0.5000

A plane-wave DFT calculation with PBE-GGA was carried out for a relaxed K3SrF crystal.

Calculated values
* VASP energy: -1.35 eV/atom
* total magnetic moment: 2.0 μB per cell

Cell lengths 8.3019, 8.3019, 8.3019 Å; angles 90.00, 90.00, 90.00 degrees
Positions (direct):
K 0.0000 0.0000 0.5000
K 0.0000 0.5000 0.0000
K 0.5000 0.0000 0.0000
Sr 0.0000 0.0000 0.0000
F 0.5000 0.5000 0.5000

A plane-wave DFT calculation with PBE-GGA was carried out for a relaxed K2SrTeF crystal.

Calculated values
* VASP energy: -3.30 eV/atom
* total magnetic moment: 0.0 μB per cell

Cell lengths 5.5501, 5.5501, 5.1747 Å; angles 90.00, 90.00, 90.00 degrees
Positions (direct):
K 0.0000 0.5000 0.0000
K 0.5000 0.0000 0.0000
Sr 0.0000 0.0000 0.5000
Te 0.5000 0.5000 0.5000
F 0.0000 0.0000 0.0000

A plane-wave DFT calculation with PBE-GGA was carried out for a relaxed K2SrTiF8 crystal.

Calculated values
* VASP energy: -5.56 eV/atom
* total magnetic moment: 0.0 μB per cell

Cell lengths 4.5785, 7.5154, 6.0994 Å; angles 90.00, 94.58, 90.00 degrees
Positions (direct):
K 0.0000 0.2395 0.0000
K 0.0000 0.7605 0.0000
Sr 0.5000 0.5000 0.5000
Ti 0.5000 0.0000 0.5000
F 0.0608 0.5000 0.2660
F 0.1525 0.0000 0.3183
F 0.3831 0.1901 0.6847
F 0.3831 0.8099 0.6847
F 0.6169 0.1901 0.3153
F 0.6169 0.8099 0.3153
F 0.8475 0.0000 0.6817
F 0.9392 0.5000 0.7340

A plane-wave DFT calculation with PBE-GGA was carried out for a relaxed K2SrTlF crystal.

Calculated values
* VASP energy: -2.75 eV/atom
* total magnetic moment: 0.0 μB per cell

Cell lengths 5.6360, 5.6360, 5.1759 Å; angles 90.00, 90.00, 90.00 degrees
Positions (direct):
K 0.0000 0.5000 0.0000
K 0.5000 0.0000 0.0000
Sr 0.0000 0.0000 0.5000
Tl 0.5000 0.5000 0.5000
F 0.0000 0.0000 0.0000